Entry 1:
Compound: KMn2As
Source: Alexandria via LeMat-Bulk
Functional: meta-GGA SCAN
Structure: single point on PBEsol structure

Calculated values
**Total DFT energy (no corrections)**: -15.7008 eV per atom
**Size of the total moment**: 8.3 μB/f.u.

a = 5.985 Å, b = 9.298 Å, c = 2.808 Å
α = 90.00°, β = 90.00°, γ = 90.00°
Space group Cmmm (No. 65)
One atom of each set of equivalent atoms:
1 K 0.000 0.000 0.000
2 Mn 0.250 0.250 0.500
3 As 0.000 0.500 0.000

---

Entry 2:
Compound: KMnAsSe2
Source: Alexandria via LeMat-Bulk
Functional: meta-GGA SCAN
Structure: single point on PBEsol structure

Calculated values
**Total DFT energy (no corrections)**: -16.2072 eV per atom
**Size of the total moment**: 3.8 μB/f.u.
**E_form (uncorrected)**: 1.18 eV per atom

a = 5.388 Å, b = 5.388 Å, c = 5.181 Å
α = 90.00°, β = 90.00°, γ = 90.00°
Space group P4/mmm (No. 123)
One atom of each set of equivalent atoms:
1 K 0.000 0.000 0.000
2 Mn 0.500 0.500 0.500
3 As 0.000 0.000 0.500
4 Se 0.000 0.500 0.000

---

Entry 3:
Compound: KMoAs2N
Source: Alexandria via LeMat-Bulk
Functional: meta-GGA SCAN
Structure: single point on PBEsol structure

Calculated values
**Total DFT energy (no corrections)**: -16.0316 eV per atom
**Size of the total moment**: 3.5 μB/f.u.
**E_form (uncorrected)**: 2.55 eV per atom

a = 5.093 Å, b = 5.093 Å, c = 3.973 Å
α = 90.00°, β = 90.00°, γ = 90.00°
Space group P4/mmm (No. 123)
One atom of each set of equivalent atoms:
1 K 0.000 0.000 0.000
2 Mo 0.500 0.500 0.500
3 As 0.000 0.500 0.000
4 N 0.000 0.000 0.500

---

Entry 4:
Compound: KAsN3
Source: Alexandria via LeMat-Bulk
Functional: meta-GGA SCAN
Structure: single point on PBEsol structure

Calculated values
**Total DFT energy (no corrections)**: -8.4090 eV per atom
**Size of the total moment**: 5.0 μB/f.u.
**E_form (uncorrected)**: 2.87 eV per atom

a = 4.805 Å, b = 4.805 Å, c = 4.805 Å
α = 90.00°, β = 90.00°, γ = 90.00°
Space group Pm-3m (No. 221)
One atom of each set of equivalent atoms:
1 K 0.000 0.000 0.000
2 As 0.500 0.500 0.500
3 N 0.000 0.000 0.500